Density functional theory data (PBE) for crystalline NaTl2PbI4 at its relaxed geometry.

Calculated values
The magnetic moment comes out at 1.0 Bohr magnetons per cell. The density of states at the Fermi level comes out at 0.4 states/eV/cell. The uncorrected formation energy is -0.62 eV/atom.

abc: 4.705 10.183 8.320
angles: 120.15 90.00 90.00
Element x y z (fractional)
Na: 0.500 0.500 0.000
Tl: 0.500 0.000 0.500
Tl: 0.000 0.500 0.500
Pb: 0.000 0.000 0.000
I: 0.500 0.260 0.164
I: 0.500 0.740 0.836
I: 0.000 0.291 0.720
I: 0.000 0.709 0.280